1.
# ErHfAsO (PBE-GGA, optimized geometry)
data_ErHfAsO
_chemical_formula_sum 'Er2 Hf2 As2 O2'
_cell_length_a 4.0365
_cell_length_b 4.0365
_cell_length_c 8.4064
_cell_angle_alpha 90.00
_cell_angle_beta 90.00
_cell_angle_gamma 90.00
_symmetry_space_group_name_H-M 'P 1'
_symmetry_Int_Tables_number 1
loop_
_symmetry_equiv_pos_as_xyz
'x,y,z'
loop_
_atom_site_label
_atom_site_type_symbol
_atom_site_fract_x
_atom_site_fract_y
_atom_site_fract_z
Er1 Er 0.2500 0.7500 0.0000
Er2 Er 0.7500 0.2500 0.0000
Hf1 Hf 0.2500 0.2500 0.3835
Hf2 Hf 0.7500 0.7500 0.6165
As1 As 0.2500 0.2500 0.7622
As2 As 0.7500 0.7500 0.2378
O1 O 0.2500 0.7500 0.5000
O2 O 0.7500 0.2500 0.5000
# Offset from the most stable computed form in meV per atom: 462.1
# ρ in g/cm³: 10.588

=====

2.
# La2CuAu (PBE-GGA, optimized geometry)
data_La2CuAu
_chemical_formula_sum 'La4 Cu2 Au2'
_cell_length_a 4.7310
_cell_length_b 5.9154
_cell_length_c 7.5423
_cell_angle_alpha 90.00
_cell_angle_beta 90.00
_cell_angle_gamma 90.00
_symmetry_space_group_name_H-M 'P 1'
_symmetry_Int_Tables_number 1
loop_
_symmetry_equiv_pos_as_xyz
'x,y,z'
loop_
_atom_site_label
_atom_site_type_symbol
_atom_site_fract_x
_atom_site_fract_y
_atom_site_fract_z
La1 La 0.0000 0.1168 0.0000
La2 La 0.0000 0.8832 0.5000
La3 La 0.5000 0.3769 0.6397
La4 La 0.5000 0.6231 0.1397
Cu1 Cu 0.5000 0.1203 0.2805
Cu2 Cu 0.5000 0.8797 0.7805
Au1 Au 0.0000 0.3798 0.3569
Au2 Au 0.0000 0.6202 0.8569
# ρ in g/cm³: 8.470
# E in eV per atom: -4.71

=====

3.
# CsNd2AgSe4 (PBE-GGA, optimized geometry)
data_CsNd2AgSe4
_chemical_formula_sum 'Cs2 Nd4 Ag2 Se8'
_cell_length_a 7.7684
_cell_length_b 7.7684
_cell_length_c 15.1223
_cell_angle_alpha 90.00
_cell_angle_beta 90.00
_cell_angle_gamma 147.48
_symmetry_space_group_name_H-M 'P 1'
_symmetry_Int_Tables_number 1
loop_
_symmetry_equiv_pos_as_xyz
'x,y,z'
loop_
_atom_site_label
_atom_site_type_symbol
_atom_site_fract_x
_atom_site_fract_y
_atom_site_fract_z
Cs1 Cs 0.1144 0.8856 0.7500
Cs2 Cs 0.8856 0.1144 0.2500
Nd1 Nd 0.3684 0.6316 0.5647
Nd2 Nd 0.3684 0.6316 0.9353
Nd3 Nd 0.6316 0.3684 0.0647
Nd4 Nd 0.6316 0.3684 0.4353
Ag1 Ag 0.1642 0.8358 0.2500
Ag2 Ag 0.8358 0.1642 0.7500
Se1 Se 0.0000 0.0000 0.0000
Se2 Se 0.0000 0.0000 0.5000
Se3 Se 0.2602 0.7398 0.1022
Se4 Se 0.2602 0.7398 0.3978
Se5 Se 0.4352 0.5648 0.7500
Se6 Se 0.5648 0.4352 0.2500
Se7 Se 0.7398 0.2602 0.6022
Se8 Se 0.7398 0.2602 0.8978
# ρ in g/cm³: 5.720
# E in eV per atom: -4.88